Here is crystalline ThCo2Ge2Rh at its relaxed geometry from the Alexandria database. Energies are from GGA-PBE.

For the uncorrected energy, the calculation gives -6.300 eV/atom. Its formation energy is 0.07 eV/atom. The space-group type is No. 123.

Cell and atoms, written as CIF:
```
data_ThCo2Ge2Rh
_space_group_name_H-M_alt 'P 1'
_space_group_IT_number 1
_space_group_name_Hall 'P 1'
_cell_length_a 4.6959
_cell_length_b 4.6959
_cell_length_c 5.2138
_cell_angle_alpha 90.00
_cell_angle_beta 90.00
_cell_angle_gamma 90.00
loop_
_atom_site_label
_atom_site_type_symbol
_atom_site_fract_x
_atom_site_fract_y
_atom_site_fract_z
Th1 Th 0.0000 0.0000 0.5000
Co1 Co 0.5000 0.5000 0.7282
Co2 Co 0.5000 0.5000 0.2718
Ge1 Ge 0.5000 0.0000 0.0000
Ge2 Ge 0.0000 0.5000 0.0000
Rh1 Rh 0.0000 0.0000 0.0000
```


Here is crystalline Th2CoGe3Rh4 at its relaxed geometry from the Alexandria database. Energies are from GGA-PBE.

For the uncorrected energy, the calculation gives -7.291 eV/atom. Its formation energy is -0.77 eV/atom. The space-group type is No. 115.

Cell and atoms, written as CIF:
```
data_Th2CoGe3Rh4
_space_group_name_H-M_alt 'P 1'
_space_group_IT_number 1
_space_group_name_Hall 'P 1'
_cell_length_a 4.2081
_cell_length_b 4.2081
_cell_length_c 10.2541
_cell_angle_alpha 90.00
_cell_angle_beta 90.00
_cell_angle_gamma 90.00
loop_
_atom_site_label
_atom_site_type_symbol
_atom_site_fract_x
_atom_site_fract_y
_atom_site_fract_z
Th1 Th 0.5000 0.0000 0.2588
Th2 Th 0.0000 0.5000 0.7412
Co1 Co 0.5000 0.5000 0.5000
Ge1 Ge 0.0000 0.0000 0.5000
Ge2 Ge 0.5000 0.0000 0.8685
Ge3 Ge 0.0000 0.5000 0.1315
Rh1 Rh 0.5000 0.5000 0.0000
Rh2 Rh 0.0000 0.0000 0.0000
Rh3 Rh 0.5000 0.0000 0.6296
Rh4 Rh 0.0000 0.5000 0.3704
```


Here is crystalline ThCoGe2Rh2 at its relaxed geometry from the Alexandria database. Energies are from GGA-PBE.

For the uncorrected energy, the calculation gives -6.808 eV/atom. Its formation energy is -0.40 eV/atom. The space-group type is No. 123.

Cell and atoms, written as CIF:
```
data_ThCoGe2Rh2
_space_group_name_H-M_alt 'P 1'
_space_group_IT_number 1
_space_group_name_Hall 'P 1'
_cell_length_a 4.4477
_cell_length_b 4.4477
_cell_length_c 5.4295
_cell_angle_alpha 90.00
_cell_angle_beta 90.00
_cell_angle_gamma 90.00
loop_
_atom_site_label
_atom_site_type_symbol
_atom_site_fract_x
_atom_site_fract_y
_atom_site_fract_z
Th1 Th 0.0000 0.0000 0.5000
Co1 Co 0.0000 0.0000 0.0000
Ge1 Ge 0.5000 0.0000 0.0000
Ge2 Ge 0.0000 0.5000 0.0000
Rh1 Rh 0.5000 0.5000 0.7412
Rh2 Rh 0.5000 0.5000 0.2588
```


Which of these has the lowest uncorrected energy? Th2CoGe3Rh4


What is the uncorrected energy in the third record? -6.808 eV/atom


Number 1 is which compound? ThCo2Ge2Rh


Repeat the third record exactly.
Here is crystalline ThCoGe2Rh2 at its relaxed geometry from the Alexandria database. Energies are from GGA-PBE.

For the uncorrected energy, the calculation gives -6.808 eV/atom. Its formation energy is -0.40 eV/atom. The space-group type is No. 123.

Cell and atoms, written as CIF:
```
data_ThCoGe2Rh2
_space_group_name_H-M_alt 'P 1'
_space_group_IT_number 1
_space_group_name_Hall 'P 1'
_cell_length_a 4.4477
_cell_length_b 4.4477
_cell_length_c 5.4295
_cell_angle_alpha 90.00
_cell_angle_beta 90.00
_cell_angle_gamma 90.00
loop_
_atom_site_label
_atom_site_type_symbol
_atom_site_fract_x
_atom_site_fract_y
_atom_site_fract_z
Th1 Th 0.0000 0.0000 0.5000
Co1 Co 0.0000 0.0000 0.0000
Ge1 Ge 0.5000 0.0000 0.0000
Ge2 Ge 0.0000 0.5000 0.0000
Rh1 Rh 0.5000 0.5000 0.7412
Rh2 Rh 0.5000 0.5000 0.2588
```